La2Tb6DyEr3 | PBE | relaxed Values from VASP.

Values from the calculation:
Its electronic total energy is -4.638 eV/atom. As for the energy of formation from the pure elements: 0.02 eV per atom. For the density, the calculation gives 8.1 Mg/m³. Its space group is C2/m, No. 12. For the density of states at the Fermi level, the calculation gives 16.38 states/eV/cell.

The structure in Quantum ESPRESSO input format:
```
&SYSTEM
  ibrav = 0, nat = 12, ntyp = 4
/
ATOMIC_SPECIES
La 138.91 La.upf
Tb 158.93 Tb.upf
Dy 162.50 Dy.upf
Er 167.26 Er.upf
CELL_PARAMETERS angstrom
3.100 -5.370 0.000
3.100 5.370 0.000
-2.066 0.000 11.678
ATOMIC_POSITIONS angstrom
La 3.100 3.582 0.000
La 3.100 -3.582 0.000
Tb 0.001 1.783 8.698
Tb 1.045 0.000 2.983
Tb 0.001 -1.783 8.698
Tb 4.133 1.783 2.981
Tb 3.089 0.000 8.696
Tb 4.133 -1.783 2.981
Dy 3.100 0.000 0.000
Er -1.033 0.000 5.839
Er 2.067 1.786 5.839
Er 2.067 -1.786 5.839
```

=====

CsNiP2Cl | PBE | relaxed Values from VASP.

Values from the calculation:
Its electronic total energy is -4.065 eV/atom. For the density, the calculation gives 2.9 Mg/m³. Its space group is P4/mmm, No. 123. The value obtained for the uncorrected formation energy is -205 meV per atom. For the density of states at the Fermi level, the calculation gives 1.88 states/eV/cell. For the relative energy among the computed polymorphs, the calculation gives 0.000 eV per atom.

The structure in Quantum ESPRESSO input format:
```
&SYSTEM
  ibrav = 0, nat = 5, ntyp = 4
/
ATOMIC_SPECIES
Cs 132.91 Cs.upf
Ni 58.69 Ni.upf
P 30.97 P.upf
Cl 35.45 Cl.upf
CELL_PARAMETERS angstrom
4.355 0.000 0.000
0.000 4.355 0.000
0.000 0.000 8.741
ATOMIC_POSITIONS angstrom
Cs 0.000 0.000 0.000
Ni 2.177 2.177 4.370
P 0.000 2.177 4.370
P 2.177 0.000 4.370
Cl 2.177 2.177 0.000
```

=====

Tl2AgBi | PBE | relaxed Values from VASP.

Values from the calculation:
Its electronic total energy is -2.781 eV/atom. As for the energy of formation from the pure elements: 0.08 eV per atom. For the density, the calculation gives 11.0 Mg/m³. Its space group is P4/mmm, No. 123. For the density of states at the Fermi level, the calculation gives 1.81 states/eV/cell. For the relative energy among the computed polymorphs, the calculation gives 0.023 eV per atom.

The structure in Quantum ESPRESSO input format:
```
&SYSTEM
  ibrav = 0, nat = 4, ntyp = 3
/
ATOMIC_SPECIES
Tl 204.38 Tl.upf
Ag 107.87 Ag.upf
Bi 208.98 Bi.upf
CELL_PARAMETERS angstrom
3.474 0.000 0.000
0.000 3.474 0.000
0.000 0.000 9.115
ATOMIC_POSITIONS angstrom
Tl 0.000 0.000 1.967
Tl 0.000 0.000 7.147
Ag 1.737 1.737 0.000
Bi 1.737 1.737 4.557
```

=====

MgNb3O | PBE | relaxed Values from VASP.

Values from the calculation:
Its electronic total energy is -5.154 eV/atom. For the density, the calculation gives 5.0 Mg/m³. Its space group is Pm-3m, No. 221. The value obtained for the uncorrected formation energy is 2199 meV per atom. For the density of states at the Fermi level, the calculation gives 4.92 states/eV/cell. For the relative energy among the computed polymorphs, the calculation gives 2.764 eV per atom.

The structure in Quantum ESPRESSO input format:
```
&SYSTEM
  ibrav = 0, nat = 5, ntyp = 3
/
ATOMIC_SPECIES
Mg 24.30 Mg.upf
Nb 92.91 Nb.upf
O 16.00 O.upf
CELL_PARAMETERS angstrom
4.730 0.000 0.000
0.000 4.730 0.000
0.000 0.000 4.730
ATOMIC_POSITIONS angstrom
Mg 0.000 0.000 0.000
Nb 0.000 0.000 2.365
Nb 0.000 2.365 0.000
Nb 2.365 0.000 0.000
O 2.365 2.365 2.365
```

=====

SrSnTeO2 | PBE | relaxed Values from VASP.

Values from the calculation:
Its electronic total energy is -5.276 eV/atom. For the density, the calculation gives 5.4 Mg/m³. Its space group is Cmcm, No. 63. The value obtained for the uncorrected formation energy is -1527 meV per atom. For the density of states at the Fermi level, the calculation gives 6.76 states/eV/cell. For the relative energy among the computed polymorphs, the calculation gives 0.000 eV per atom.

The structure in Quantum ESPRESSO input format:
```
&SYSTEM
  ibrav = 0, nat = 10, ntyp = 4
/
ATOMIC_SPECIES
Sr 87.62 Sr.upf
Sn 118.71 Sn.upf
Te 127.60 Te.upf
O 16.00 O.upf
CELL_PARAMETERS angstrom
2.927 -6.907 0.000
2.927 6.907 0.000
0.000 0.000 5.519
ATOMIC_POSITIONS angstrom
Sr 2.927 5.542 4.139
Sr 2.927 -5.542 1.380
Sn 2.927 0.876 4.139
Sn 2.927 -0.876 1.380
Te 2.927 3.282 1.380
Te 2.927 -3.282 4.139
O 1.593 0.000 0.000
O 1.593 0.000 2.760
O 4.262 0.000 0.000
O 4.262 0.000 2.760
```

=====

TaReOs | PBE | relaxed Values from VASP.

Values from the calculation:
Its electronic total energy is -11.791 eV/atom. As for the energy of formation from the pure elements: 0.05 eV per atom. For the density, the calculation gives 19.4 Mg/m³. Its space group is I4mm, No. 107. For the density of states at the Fermi level, the calculation gives 2.04 states/eV/cell. For the relative energy among the computed polymorphs, the calculation gives 0.140 eV per atom.

The structure in Quantum ESPRESSO input format:
```
&SYSTEM
  ibrav = 0, nat = 3, ntyp = 3
/
ATOMIC_SPECIES
Ta 180.95 Ta.upf
Re 186.21 Re.upf
Os 190.23 Os.upf
CELL_PARAMETERS angstrom
-1.590 1.590 4.730
1.590 -1.590 4.730
1.590 1.590 -4.730
ATOMIC_POSITIONS angstrom
Ta 0.000 0.000 0.000
Re 0.000 0.000 6.228
Os 0.000 0.000 3.201
```

=====

Y2TiGaC | PBE | relaxed Values from VASP.

Values from the calculation:
Its electronic total energy is -7.067 eV/atom. As for the energy of formation from the pure elements: -0.45 eV per atom. For the density, the calculation gives 5.1 Mg/m³. Its space group is P4/mmm, No. 123. For the density of states at the Fermi level, the calculation gives 4.02 states/eV/cell.

The structure in Quantum ESPRESSO input format:
```
&SYSTEM
  ibrav = 0, nat = 5, ntyp = 4
/
ATOMIC_SPECIES
Y 88.91 Y.upf
Ti 47.87 Ti.upf
Ga 69.72 Ga.upf
C 12.01 C.upf
CELL_PARAMETERS angstrom
4.865 0.000 0.000
0.000 4.865 0.000
0.000 0.000 4.245
ATOMIC_POSITIONS angstrom
Y 0.000 2.432 0.000
Y 2.432 0.000 0.000
Ti 0.000 0.000 2.123
Ga 2.432 2.432 2.123
C 0.000 0.000 0.000
```

=====

Ba2NiAgH6 | PBE | relaxed Values from VASP.

Values from the calculation:
Its electronic total energy is -3.538 eV/atom. For the density, the calculation gives 5.3 Mg/m³. Its space group is P-3m1, No. 164. For the density of states at the Fermi level, the calculation gives 2.28 states/eV/cell.

The structure in Quantum ESPRESSO input format:
```
&SYSTEM
  ibrav = 0, nat = 10, ntyp = 4
/
ATOMIC_SPECIES
Ba 137.33 Ba.upf
Ni 58.69 Ni.upf
Ag 107.87 Ag.upf
H 1.01 H.upf
CELL_PARAMETERS angstrom
5.655 0.000 0.000
-2.827 4.897 0.000
0.000 0.000 5.076
ATOMIC_POSITIONS angstrom
Ba 0.000 3.265 1.368
Ba 2.827 1.632 3.708
Ni 0.000 0.000 2.538
Ag 0.000 0.000 0.000
H 0.000 1.424 3.522
H -1.594 4.185 3.522
H 1.233 0.712 1.554
H 1.594 4.185 3.522
H 4.422 0.712 1.554
H 2.827 3.473 1.554
```

=====

NbReAs2 | PBE | relaxed Values from VASP.

Values from the calculation:
Its electronic total energy is -7.778 eV/atom. As for the energy of formation from the pure elements: 0.18 eV per atom. For the density, the calculation gives 9.9 Mg/m³. Its space group is R-3m, No. 166. For the density of states at the Fermi level, the calculation gives 3.02 states/eV/cell. For the relative energy among the computed polymorphs, the calculation gives 0.181 eV per atom.

The structure in Quantum ESPRESSO input format:
```
&SYSTEM
  ibrav = 0, nat = 4, ntyp = 3
/
ATOMIC_SPECIES
Nb 92.91 Nb.upf
Re 186.21 Re.upf
As 74.92 As.upf
CELL_PARAMETERS angstrom
1.519 0.877 8.975
-1.519 0.877 8.975
0.000 -1.754 8.975
ATOMIC_POSITIONS angstrom
Nb 0.000 0.000 0.000
Re 0.000 0.000 13.463
As 0.000 0.000 2.640
As 0.000 0.000 24.286
```

=====

CrMo2 | PBE | relaxed Values from VASP.

Values from the calculation:
Its electronic total energy is -10.360 eV/atom. As for the energy of formation from the pure elements: 0.07 eV per atom. For the density, the calculation gives 9.3 Mg/m³. Its space group is C2/m, No. 12. For the density of states at the Fermi level, the calculation gives 5.83 states/eV/cell. For the relative energy among the computed polymorphs, the calculation gives 0.018 eV per atom.

The structure in Quantum ESPRESSO input format:
```
&SYSTEM
  ibrav = 0, nat = 6, ntyp = 2
/
ATOMIC_SPECIES
Cr 52.00 Cr.upf
Mo 95.94 Mo.upf
CELL_PARAMETERS angstrom
4.863 -1.542 0.000
4.863 1.542 0.000
-1.997 0.000 5.828
ATOMIC_POSITIONS angstrom
Cr 1.463 0.000 0.474
Cr 6.266 0.000 5.354
Mo 0.472 0.000 3.445
Mo 4.356 0.000 1.395
Mo 3.372 0.000 4.432
Mo 7.256 0.000 2.383
```

=====

CuGeIr2 | PBE | relaxed Values from VASP.

Values from the calculation:
Its electronic total energy is -6.616 eV/atom. As for the energy of formation from the pure elements: -0.01 eV per atom. For the density, the calculation gives 15.6 Mg/m³. Its space group is P4/mmm, No. 123. For the density of states at the Fermi level, the calculation gives 2.16 states/eV/cell.

The structure in Quantum ESPRESSO input format:
```
&SYSTEM
  ibrav = 0, nat = 4, ntyp = 3
/
ATOMIC_SPECIES
Cu 63.55 Cu.upf
Ge 72.64 Ge.upf
Ir 192.22 Ir.upf
CELL_PARAMETERS angstrom
3.024 0.000 0.000
0.000 3.024 0.000
0.000 0.000 6.071
ATOMIC_POSITIONS angstrom
Cu 0.000 0.000 0.000
Ge 0.000 0.000 3.035
Ir 1.512 1.512 1.562
Ir 1.512 1.512 4.509
```